Entry 1:
La2Ho5Er6: optimized geometry, PBE. Values from VASP.

Computed properties:
uncorrected energy = -58.77 eV/f.u.
size of the total moment = 0.000 μB/f.u.
DOS(E_F) = 36.641 states/eV per cell
ΔE_f = 130 kJ/mol of formula units
space-group type = No. 55

Geometry as Quantum ESPRESSO input:
```
&SYSTEM
  ibrav = 0, nat = 26, ntyp = 3
/
ATOMIC_SPECIES
La 138.91 La.upf
Ho 164.93 Ho.upf
Er 167.26 Er.upf
CELL_PARAMETERS angstrom
11.689 0.000 0.000
0.000 20.172 0.000
0.000 0.000 3.572
ATOMIC_POSITIONS crystal
La 0.167 0.221 0.000
La 0.333 0.721 0.000
La 0.667 0.279 0.000
La 0.833 0.779 0.000
Ho 0.000 0.500 0.500
Ho 0.095 0.782 0.500
Ho 0.200 0.053 0.500
Ho 0.300 0.553 0.500
Ho 0.405 0.282 0.500
Ho 0.500 0.000 0.500
Ho 0.595 0.718 0.500
Ho 0.700 0.447 0.500
Ho 0.800 0.947 0.500
Ho 0.905 0.218 0.500
Er 0.060 0.924 0.000
Er 0.076 0.637 0.000
Er 0.181 0.379 0.500
Er 0.319 0.879 0.500
Er 0.424 0.137 0.000
Er 0.440 0.424 0.000
Er 0.560 0.576 0.000
Er 0.576 0.863 0.000
Er 0.681 0.121 0.500
Er 0.819 0.621 0.500
Er 0.924 0.363 0.000
Er 0.940 0.076 0.000
```


Entry 2:
La8HoEr3: optimized geometry, PBE. Values from VASP.

Computed properties:
uncorrected energy = -51.31 eV/f.u.
size of the total moment = 0.000 μB/f.u.
DOS(E_F) = 20.953 states/eV per cell
ΔE_f = 615 kJ/mol of formula units
space-group type = No. 121

Geometry as Quantum ESPRESSO input:
```
&SYSTEM
  ibrav = 0, nat = 12, ntyp = 3
/
ATOMIC_SPECIES
La 138.91 La.upf
Ho 164.93 Ho.upf
Er 167.26 Er.upf
CELL_PARAMETERS angstrom
-4.422 4.422 5.870
4.422 -4.422 5.870
4.422 4.422 -5.870
ATOMIC_POSITIONS crystal
La 0.127 0.127 0.754
La 0.249 0.249 0.499
La 0.251 0.751 0.000
La 0.373 0.373 0.246
La 0.627 0.873 0.000
La 0.749 0.749 0.501
La 0.751 0.251 0.000
La 0.873 0.627 0.000
Ho 0.500 0.500 0.000
Er 0.000 0.000 0.000
Er 0.250 0.750 0.500
Er 0.750 0.250 0.500
```


Entry 3:
LaHo5Er12: optimized geometry, PBE. Values from VASP.

Computed properties:
uncorrected energy = -82.09 eV/f.u.
size of the total moment = 0.001 μB/f.u.
DOS(E_F) = 25.882 states/eV per cell
ΔE_f = 47 kJ/mol of formula units
space-group type = No. 65

Geometry as Quantum ESPRESSO input:
```
&SYSTEM
  ibrav = 0, nat = 18, ntyp = 3
/
ATOMIC_SPECIES
La 138.91 La.upf
Ho 164.93 Ho.upf
Er 167.26 Er.upf
CELL_PARAMETERS angstrom
7.478 -7.489 0.000
7.478 7.489 0.000
0.000 0.000 4.984
ATOMIC_POSITIONS crystal
La 0.000 0.000 0.000
Ho 0.169 0.831 0.500
Ho 0.334 0.666 0.000
Ho 0.500 0.500 0.500
Ho 0.666 0.334 0.000
Ho 0.831 0.169 0.500
Er 0.000 0.336 0.000
Er 0.000 0.664 0.000
Er 0.168 0.500 0.500
Er 0.169 0.169 0.500
Er 0.333 0.333 0.000
Er 0.336 0.000 0.000
Er 0.500 0.168 0.500
Er 0.500 0.832 0.500
Er 0.664 0.000 0.000
Er 0.667 0.667 0.000
Er 0.831 0.831 0.500
Er 0.832 0.500 0.500
```


Entry 4:
LaHo2Er6: optimized geometry, PBE. Values from VASP.

Computed properties:
relative energy among the computed polymorphs = 0.0 meV/atom
uncorrected energy = -41.20 eV/f.u.
size of the total moment = 0.000 μB/f.u.
DOS(E_F) = 23.121 states/eV per cell
ΔE_f = 25 kJ/mol of formula units
space-group type = No. 136

Geometry as Quantum ESPRESSO input:
```
&SYSTEM
  ibrav = 0, nat = 18, ntyp = 3
/
ATOMIC_SPECIES
La 138.91 La.upf
Ho 164.93 Ho.upf
Er 167.26 Er.upf
CELL_PARAMETERS angstrom
10.608 0.000 0.000
0.000 10.608 0.000
0.000 0.000 5.020
ATOMIC_POSITIONS crystal
La 0.000 0.000 0.000
La 0.500 0.500 0.500
Ho 0.169 0.169 0.500
Ho 0.331 0.669 0.000
Ho 0.669 0.331 0.000
Ho 0.831 0.831 0.500
Er 0.000 0.335 0.000
Er 0.000 0.665 0.000
Er 0.165 0.500 0.500
Er 0.169 0.831 0.500
Er 0.331 0.331 0.000
Er 0.335 0.000 0.000
Er 0.500 0.165 0.500
Er 0.500 0.835 0.500
Er 0.665 0.000 0.000
Er 0.669 0.669 0.000
Er 0.831 0.169 0.500
Er 0.835 0.500 0.500
```


Entry 5:
LaHo2Er7: optimized geometry, PBE. Values from VASP.

Computed properties:
relative energy among the computed polymorphs = 678.3 meV/atom
uncorrected energy = -38.99 eV/f.u.
size of the total moment = 0.000 μB/f.u.
DOS(E_F) = 13.823 states/eV per cell
ΔE_f = 679 kJ/mol of formula units
space-group type = No. 65

Geometry as Quantum ESPRESSO input:
```
&SYSTEM
  ibrav = 0, nat = 10, ntyp = 3
/
ATOMIC_SPECIES
La 138.91 La.upf
Ho 164.93 Ho.upf
Er 167.26 Er.upf
CELL_PARAMETERS angstrom
4.345 -8.009 0.000
4.345 8.009 0.000
0.000 0.000 5.613
ATOMIC_POSITIONS crystal
La 0.000 0.000 0.000
Ho 0.297 0.703 0.500
Ho 0.703 0.297 0.500
Er 0.060 0.293 0.500
Er 0.218 0.782 0.000
Er 0.293 0.060 0.500
Er 0.500 0.500 0.500
Er 0.707 0.940 0.500
Er 0.782 0.218 0.000
Er 0.940 0.707 0.500
```


Entry 6:
La4Ho5Er: optimized geometry, PBE. Values from VASP.

Computed properties:
relative energy among the computed polymorphs = 32.4 meV/atom
uncorrected energy = -44.90 eV/f.u.
size of the total moment = 0.000 μB/f.u.
DOS(E_F) = 14.165 states/eV per cell
ΔE_f = 219 kJ/mol of formula units
space-group type = No. 107

Geometry as Quantum ESPRESSO input:
```
&SYSTEM
  ibrav = 0, nat = 10, ntyp = 3
/
ATOMIC_SPECIES
La 138.91 La.upf
Ho 164.93 Ho.upf
Er 167.26 Er.upf
CELL_PARAMETERS angstrom
-5.384 5.384 3.006
5.384 -5.384 3.006
5.384 5.384 -3.006
ATOMIC_POSITIONS crystal
La 0.000 0.322 0.322
La 0.000 0.678 0.678
La 0.322 0.000 0.322
La 0.678 0.000 0.678
Ho 0.240 0.240 0.000
Ho 0.312 0.312 0.624
Ho 0.312 0.689 0.000
Ho 0.689 0.312 0.000
Ho 0.689 0.689 0.376
Er 0.759 0.759 0.000
```